# 1
TbPrDyY3 after structural relaxation, computed with GGA-PBE.

The structure in POSCAR format:
```
TbPrDyY3
1.0
-0.199 2.388 -4.469
1.585 -7.753 -1.337
-9.959 -1.934 -0.591
Tb Pr Dy Y
2 2 2 6
direct
0.834 0.667 0.750
0.166 0.333 0.250
0.000 0.000 0.500
0.000 0.000 0.000
0.499 0.999 0.750
0.501 0.001 0.250
0.667 0.335 0.500
0.333 0.665 0.500
0.333 0.665 0.000
0.667 0.335 0.000
0.167 0.334 0.750
0.833 0.666 0.250
```

Computed properties:
Its energy relative to the elements is 0.021 eV/atom. As for the crystal system: orthorhombic. The magnetization is 0.00 μB/cell. As for the space group: No. 63.

# 2
TbPr2DyY2 after structural relaxation, computed with GGA-PBE.

The structure in POSCAR format:
```
TbPr2DyY2
1.0
3.417 0.000 0.000
0.000 6.701 0.000
0.000 0.000 17.773
Tb Pr Dy Y
2 4 2 4
direct
0.000 0.000 0.000
0.500 0.500 0.500
0.500 0.236 0.350
0.000 0.736 0.150
0.500 0.764 0.650
0.000 0.264 0.850
0.500 0.500 0.000
0.000 0.000 0.500
0.500 0.741 0.322
0.500 0.259 0.678
0.000 0.759 0.822
0.000 0.241 0.178
```

Computed properties:
Its energy relative to the elements is 0.250 eV/atom. As for the crystal system: orthorhombic. The magnetization is 0.00 μB/cell. As for the space group: No. 58.

# 3
TbPr2DyY after structural relaxation, computed with GGA-PBE.

The structure in POSCAR format:
```
TbPr2DyY
1.0
7.308 0.000 0.000
0.000 8.413 0.000
0.000 -4.206 5.851
Tb Pr Dy Y
2 4 2 2
direct
0.250 0.971 0.942
0.750 0.029 0.058
0.500 0.306 0.000
0.000 0.694 0.000
0.500 0.694 0.000
0.000 0.306 0.000
0.250 0.711 0.422
0.750 0.289 0.578
0.750 0.746 0.492
0.250 0.254 0.508
```

Computed properties:
Its energy relative to the elements is 0.413 eV/atom. As for the crystal system: orthorhombic. The magnetization is 0.00 μB/cell. As for the space group: No. 63.